Entry 1:
Here is Cs3CeAs2S8 after structural relaxation from Alexandria via LeMat-Bulk. Energies are from PBE-GGA.

abc: 7.372 7.372 9.917
angles: 90.00 90.00 120.00
Each line ends with the local moment (μB).
Atoms (fractional coordinates):
Cs (0.333, 0.667, 0.678)  0.00
Cs (0.667, 0.333, 0.322)  0.00
Cs (0.000, 0.000, 0.000)  0.00
Ce (0.000, 0.000, 0.500)  0.69
As (0.333, 0.667, 0.249)  0.02
As (0.667, 0.333, 0.751)  0.02
S (0.333, 0.667, 0.037)  0.00
S (0.667, 0.333, 0.963)  0.00
S (0.167, 0.833, 0.324)  0.01
S (0.833, 0.167, 0.676)  0.01
S (0.167, 0.333, 0.324)  0.01
S (0.833, 0.667, 0.676)  0.01
S (0.667, 0.833, 0.324)  0.01
S (0.333, 0.167, 0.676)  0.01

## Properties
Space group: P-3m1, No. 164
Formation energy from raw total energies, eV/atom: -0.8126
Calculated density, kg/m³: 3363

Entry 2:
Here is KHg3H4 after structural relaxation from Alexandria via LeMat-Bulk. Energies are from PBE-GGA.

abc: 8.558 8.746 3.631
angles: 101.54 102.79 130.48
Atoms (fractional coordinates):
K (0.500, 0.000, 0.000)
Hg (0.000, 0.500, 0.000)
Hg (0.928, 0.090, 0.761)
Hg (0.072, 0.910, 0.239)
H (0.716, 0.345, 0.778)
H (0.284, 0.655, 0.222)
H (0.440, 0.442, 0.917)
H (0.560, 0.558, 0.083)

## Properties
Uncorrected energy, eV per cell: -15.12
Space group: P-1, No. 2
Calculated density, kg/m³: 5994

Entry 3:
Here is PaGeMo after structural relaxation from Alexandria via LeMat-Bulk. Energies are from PBE-GGA.

abc: 3.543 4.463 4.463
angles: 120.00 90.00 90.00
Atoms (fractional coordinates):
Mo (0.833, 0.000, 0.000)
Pa (0.333, 0.333, 0.667)
Ge (0.833, 0.667, 0.333)

## Properties
Space group: P-6m2, No. 187
Calculated density, kg/m³: 10860
DFT formation energy, eV/atom: -0.098

Entry 4:
Here is Ac5PrTl3 after structural relaxation from Alexandria via LeMat-Bulk. Energies are from PBE-GGA.

abc: 7.419 10.174 10.172
angles: 120.01 90.00 90.00
Atoms (fractional coordinates):
Ac (0.000, 0.667, 0.333)
Ac (0.500, 0.333, 0.667)
Ac (0.000, 0.333, 0.667)
Ac (0.500, 0.667, 0.333)
Ac (0.750, 0.677, 0.677)
Ac (0.750, 0.000, 0.323)
Ac (0.750, 0.323, 0.000)
Ac (0.250, 0.323, 0.323)
Ac (0.250, 0.000, 0.677)
Ac (0.250, 0.677, 0.000)
Pr (0.000, 0.000, 0.000)
Pr (0.500, 0.000, 0.000)
Tl (0.750, 0.340, 0.340)
Tl (0.750, 0.000, 0.660)
Tl (0.750, 0.660, 0.000)
Tl (0.250, 0.660, 0.660)
Tl (0.250, 0.000, 0.340)
Tl (0.250, 0.340, 0.000)

## Properties
Space group: P6_3/mcm, No. 193
Calculated density, kg/m³: 9436
DFT formation energy, eV/atom: -0.204

Entry 5:
Here is Se2SBrCl after structural relaxation from Alexandria via LeMat-Bulk. Energies are from PBE-GGA.

abc: 5.069 5.069 5.246
angles: 90.00 90.00 90.00
Each line ends with the local moment (μB).
Atoms (fractional coordinates):
S (0.500, 0.500, 0.500)  1.02
Se (0.000, 0.500, 0.000)  0.23
Se (0.500, 0.000, 0.000)  0.23
Br (0.000, 0.000, 0.500)  0.11
Cl (0.000, 0.000, 0.000)  0.02

## Properties
Space group: P4/mmm, No. 123
Formation energy from raw total energies, eV/atom: 1.2225
Calculated density, kg/m³: 3761

Entry 6:
Here is KDy3Te4 after structural relaxation from Alexandria via LeMat-Bulk. Energies are from PBE-GGA.

abc: 4.420 4.420 30.677
angles: 90.00 90.00 120.00
Atoms (fractional coordinates):
K (0.667, 0.333, 0.750)
K (0.333, 0.667, 0.250)
Te (0.667, 0.333, 0.943)
Te (0.333, 0.667, 0.057)
Te (0.333, 0.667, 0.443)
Te (0.667, 0.333, 0.557)
Te (0.000, 0.000, 0.829)
Te (0.000, 0.000, 0.171)
Te (0.000, 0.000, 0.329)
Te (0.000, 0.000, 0.671)
Dy (0.000, 0.000, 0.000)
Dy (0.000, 0.000, 0.500)
Dy (0.333, 0.667, 0.886)
Dy (0.667, 0.333, 0.114)
Dy (0.667, 0.333, 0.386)
Dy (0.333, 0.667, 0.614)

## Properties
Space group: P6_3/mmc, No. 194
Formation energy from raw total energies, eV/atom: -1.3368
Calculated density, kg/m³: 6635

Entry 7:
Here is Ac2MgHg after structural relaxation from Alexandria via LeMat-Bulk. Energies are from PBE-GGA.

abc: 4.087 4.087 8.128
angles: 90.00 90.00 90.00
Atoms (fractional coordinates):
Mg (0.500, 0.500, 0.500)
Ac (0.000, 0.000, 0.753)
Ac (0.000, 0.000, 0.247)
Hg (0.500, 0.500, 0.000)

## Properties
Space group: P4/mmm, No. 123
Calculated density, kg/m³: 8301
DFT formation energy, eV/atom: -0.269

Entry 8:
Here is AsCl after structural relaxation from Alexandria via LeMat-Bulk. Energies are from PBE-GGA.

abc: 10.182 10.182 4.273
angles: 90.00 90.00 90.00
Each line ends with the local moment (μB).
Atoms (fractional coordinates):
As (0.736, 0.736, 0.000)  0.47
As (0.236, 0.764, 0.500)  0.47
As (0.764, 0.236, 0.500)  0.47
As (0.264, 0.264, 0.000)  0.47
Cl (0.841, 0.159, 0.000)  0.05
Cl (0.341, 0.341, 0.500)  0.05
Cl (0.659, 0.659, 0.500)  0.05
Cl (0.159, 0.841, 0.000)  0.05

## Properties
Space group: P4_2/mnm, No. 136
Formation energy from raw total energies, eV/atom: 0.5489
Calculated density, kg/m³: 1655

Entry 9:
Here is Ca2ThMg after structural relaxation from Alexandria via LeMat-Bulk. Energies are from PBE-GGA.

abc: 3.581 3.581 10.349
angles: 90.00 90.00 90.00
Atoms (fractional coordinates):
Ca (0.000, 0.000, 0.768)
Ca (0.000, 0.000, 0.232)
Mg (0.500, 0.500, 0.000)
Th (0.500, 0.500, 0.500)

## Properties
Space group: P4/mmm, No. 123
Calculated density, kg/m³: 4210
DFT formation energy, eV/atom: 0.110

Entry 10:
Here is TbEr2Sb after structural relaxation from Alexandria via LeMat-Bulk. Energies are from PBE-GGA.

abc: 4.111 6.423 9.437
angles: 90.00 90.00 108.66
Atoms (fractional coordinates):
Tb (0.942, 0.884, 0.250)
Tb (0.058, 0.116, 0.750)
Er (0.364, 0.728, 0.547)
Er (0.636, 0.272, 0.453)
Er (0.364, 0.728, 0.953)
Er (0.636, 0.272, 0.047)
Sb (0.759, 0.518, 0.750)
Sb (0.241, 0.482, 0.250)

## Properties
Space group: Cmcm, No. 63
Formation energy from raw total energies, eV/atom: -0.5463
Calculated density, kg/m³: 8653

Entry 11:
Here is Ca3Sm2ZrAs6 after structural relaxation from Alexandria via LeMat-Bulk. Energies are from PBE-GGA.

abc: 7.176 7.176 7.318
angles: 99.44 99.44 120.03
Atoms (fractional coordinates):
Ca (0.171, 0.829, 0.500)
Ca (0.829, 0.171, 0.500)
Ca (0.500, 0.500, 0.500)
Sm (0.334, 0.666, 0.000)
Sm (0.666, 0.334, 0.000)
Zr (0.000, 0.000, 0.000)
As (0.922, 0.605, 0.765)
As (0.764, 0.764, 0.237)
As (0.078, 0.395, 0.235)
As (0.605, 0.922, 0.765)
As (0.236, 0.236, 0.763)
As (0.395, 0.078, 0.235)

## Properties
Space group: C2/m, No. 12
Calculated density, kg/m³: 5182
DFT formation energy, eV/atom: -1.187

Entry 12:
Here is Zr2GaSe6 after structural relaxation from Alexandria via LeMat-Bulk. Energies are from PBE-GGA.

abc: 6.346 6.346 11.709
angles: 90.00 90.00 90.00
Atoms (fractional coordinates):
Zr (0.000, 0.000, 0.340)
Zr (0.500, 0.500, 0.840)
Zr (0.500, 0.500, 0.160)
Zr (0.000, 0.000, 0.660)
Ga (0.000, 0.000, 0.000)
Ga (0.500, 0.500, 0.500)
Se (0.305, 0.305, 0.335)
Se (0.695, 0.695, 0.335)
Se (0.195, 0.805, 0.835)
Se (0.805, 0.195, 0.835)
Se (0.195, 0.805, 0.165)
Se (0.805, 0.195, 0.165)
Se (0.305, 0.305, 0.665)
Se (0.695, 0.695, 0.665)
Se (0.295, 0.295, 0.000)
Se (0.705, 0.705, 0.000)
Se (0.205, 0.795, 0.500)
Se (0.795, 0.205, 0.500)

## Properties
Space group: P4_2/mnm, No. 136
Formation energy from raw total energies, eV/atom: -0.8154
Calculated density, kg/m³: 5113

Entry 13:
Here is Zr2Al2Ge after structural relaxation from Alexandria via LeMat-Bulk. Energies are from PBE-GGA.

abc: 6.796 6.796 4.115
angles: 90.00 90.00 90.00
Atoms (fractional coordinates):
Ge (0.000, 0.000, 0.000)
Ge (0.500, 0.500, 0.000)
Al (0.370, 0.870, 0.000)
Al (0.870, 0.630, 0.000)
Al (0.630, 0.130, 0.000)
Al (0.130, 0.370, 0.000)
Zr (0.174, 0.674, 0.500)
Zr (0.674, 0.826, 0.500)
Zr (0.826, 0.326, 0.500)
Zr (0.326, 0.174, 0.500)

## Properties
Space group: P4/mbm, No. 127
Calculated density, kg/m³: 5400
DFT formation energy, eV/atom: -0.338

Entry 14:
Here is AgPBrF6 after structural relaxation from Alexandria via LeMat-Bulk. Energies are from PBE-GGA.

abc: 7.526 5.903 5.041
angles: 88.31 81.99 42.84
Each line ends with the local moment (μB).
Atoms (fractional coordinates):
Ag (0.793, 0.395, 0.507)  0.34
P (0.332, 0.337, 0.499)  0.00
Br (0.875, 0.267, 0.995)  0.44
F (0.079, 0.456, 0.388)  0.02
F (0.417, 0.003, 0.610)  0.02
F (0.588, 0.212, 0.610)  0.02
F (0.148, 0.544, 0.787)  0.01
F (0.249, 0.665, 0.392)  0.01
F (0.519, 0.120, 0.213)  0.01

## Properties
Space group: P1, No. 1
Formation energy from raw total energies, eV/atom: -1.9031
Calculated density, kg/m³: 3686

Entry 15:
Here is Ca3Al8Ag after structural relaxation from Alexandria via LeMat-Bulk. Energies are from PBE-GGA.

abc: 5.633 5.633 9.617
angles: 72.97 72.97 60.00
Atoms (fractional coordinates):
Ca (0.377, 0.377, 0.870)
Ca (0.996, 0.996, 0.012)
Ca (0.504, 0.504, 0.489)
Al (0.939, 0.438, 0.184)
Al (0.436, 0.941, 0.682)
Al (0.438, 0.438, 0.184)
Al (0.941, 0.941, 0.682)
Al (0.189, 0.189, 0.434)
Al (0.690, 0.690, 0.930)
Al (0.438, 0.939, 0.184)
Al (0.941, 0.436, 0.682)
Ag (0.861, 0.861, 0.416)

## Properties
Space group: R3m, No. 160
Calculated density, kg/m³: 2964
DFT formation energy, eV/atom: -0.207

Entry 16:
Here is UPaFeOs after structural relaxation from Alexandria via LeMat-Bulk. Energies are from PBE-GGA.

abc: 4.769 4.769 4.769
angles: 60.00 60.00 60.00
Each line ends with the local moment (μB).
Atoms (fractional coordinates):
Os (0.250, 0.250, 0.250)  -0.24
Pa (0.500, 0.500, 0.500)  0.67
U (0.000, 0.000, 0.000)  2.07
Fe (0.750, 0.750, 0.750)  -1.40

## Properties
Space group: F-43m, No. 216
Calculated density, kg/m³: 15484
DFT formation energy, eV/atom: 0.015

Entry 17:
Here is CsMg3Tl4 after structural relaxation from Alexandria via LeMat-Bulk. Energies are from PBE-GGA.

abc: 5.092 5.092 11.972
angles: 77.72 77.72 60.00
Atoms (fractional coordinates):
Cs (0.000, 0.000, 0.000)
Mg (0.223, 0.223, 0.331)
Mg (0.777, 0.777, 0.669)
Mg (0.500, 0.500, 0.500)
Tl (0.871, 0.871, 0.386)
Tl (0.408, 0.408, 0.776)
Tl (0.129, 0.129, 0.614)
Tl (0.592, 0.592, 0.224)

## Properties
Space group: R-3m, No. 166
Calculated density, kg/m³: 6522
DFT formation energy, eV/atom: -0.071

Entry 18:
Here is Cd2InW after structural relaxation from Alexandria via LeMat-Bulk. Energies are from PBE-GGA.

abc: 2.997 4.506 5.958
angles: 90.00 90.00 90.00
Atoms (fractional coordinates):
Cd (0.000, 0.000, 0.981)
Cd (0.000, 0.000, 0.519)
W (0.500, 0.500, 0.750)
In (0.500, 0.500, 0.250)

## Properties
Space group: Pmmm, No. 47
Calculated density, kg/m³: 10805
DFT formation energy, eV/atom: 0.618

Entry 19:
Here is CrAgW2 after structural relaxation from Alexandria via LeMat-Bulk. Energies are from PBE-GGA.

abc: 5.126 5.126 5.126
angles: 143.56 128.61 64.63
Atoms (fractional coordinates):
Ag (0.489, 0.489, 0.000)
Cr (0.234, 0.734, 0.500)
W (0.014, 0.014, 0.000)
W (0.762, 0.262, 0.500)

## Properties
Space group: Imm2, No. 44
Calculated density, kg/m³: 14193
DFT formation energy, eV/atom: 0.605

Entry 20:
Here is PrNd4Sm8 after structural relaxation from Alexandria via LeMat-Bulk. Energies are from PBE-GGA.

abc: 11.203 11.203 7.934
angles: 90.00 134.91 120.00
Each line ends with the local moment (μB).
Atoms (fractional coordinates):
Pr (0.000, 0.500, 0.500)  0.04
Nd (0.000, 0.000, 0.000)  -0.06
Nd (0.000, 0.500, 0.000)  0.15
Nd (0.500, 0.500, 0.000)  0.15
Nd (0.500, 0.000, 0.000)  0.15
Sm (0.523, 0.761, 0.284)  0.05
Sm (0.477, 0.239, 0.716)  0.05
Sm (0.478, 0.239, 0.242)  0.05
Sm (0.997, 0.236, 0.758)  0.05
Sm (0.522, 0.761, 0.758)  0.05
Sm (0.997, 0.761, 0.758)  0.05
Sm (0.003, 0.239, 0.242)  0.05
Sm (0.003, 0.764, 0.242)  0.05

## Properties
Space group: R-3m, No. 166
Calculated density, kg/m³: 6385
DFT formation energy, eV/atom: 0.488

Entry 21:
Here is ZnTeAs2 after structural relaxation from Alexandria via LeMat-Bulk. Energies are from PBE-GGA.

abc: 3.273 3.273 9.252
angles: 90.00 90.00 90.00
Atoms (fractional coordinates):
As (0.000, 0.000, 0.892)
As (0.000, 0.000, 0.608)
Te (0.500, 0.500, 0.250)
Zn (0.500, 0.500, 0.750)

## Properties
Space group: P4/mmm, No. 123
Formation energy from raw total energies, eV/atom: 0.2713
Calculated density, kg/m³: 5743

Entry 22:
Here is TiMnInIr2 after structural relaxation from Alexandria via LeMat-Bulk. Energies are from PBE-GGA.

abc: 4.564 4.334 4.564
angles: 90.00 90.00 90.00
Atoms (fractional coordinates):
Ir (0.000, 0.000, 0.500)
Ir (0.500, 0.000, 0.000)
Ti (0.000, 0.500, 0.000)
Mn (0.000, 0.000, 0.000)
In (0.500, 0.500, 0.500)

## Properties
Space group: P4/mmm, No. 123
Calculated density, kg/m³: 11077
DFT formation energy, eV/atom: 0.577

Entry 23:
Here is CaY2Al2 after structural relaxation from Alexandria via LeMat-Bulk. Energies are from PBE-GGA.

abc: 8.400 8.400 3.832
angles: 90.00 90.00 90.00
Atoms (fractional coordinates):
Y (0.178, 0.678, 0.500)
Y (0.678, 0.822, 0.500)
Y (0.822, 0.322, 0.500)
Y (0.322, 0.178, 0.500)
Ca (0.000, 0.000, 0.000)
Ca (0.500, 0.500, 0.000)
Al (0.384, 0.884, 0.000)
Al (0.884, 0.616, 0.000)
Al (0.616, 0.116, 0.000)
Al (0.116, 0.384, 0.000)

## Properties
Space group: P4/mbm, No. 127
Calculated density, kg/m³: 3339
DFT formation energy, eV/atom: -0.292

Entry 24:
Here is ScP2Ir after structural relaxation from Alexandria via LeMat-Bulk. Energies are from PBE-GGA.

abc: 3.495 3.495 5.249
angles: 90.00 90.00 90.00
Atoms (fractional coordinates):
Ir (0.500, 0.500, 0.815)
P (0.000, 0.000, 0.932)
P (0.500, 0.500, 0.316)
Sc (0.000, 0.000, 0.436)

## Properties
Space group: P4mm, No. 99
Calculated density, kg/m³: 7748
DFT formation energy, eV/atom: -0.610